Tb2NdAl6 | GGA-PBE | relaxed

```
9
Lattice="4.4258 0.0000 0.0000 2.2129 7.5747 1.1195 2.2129 3.2474 6.9343" Properties=species:S:1:pos:R:3 pbc="T T T"
Tb 2.2129 1.3484 1.0034
Tb 6.6387 9.4737 7.0503
Nd 4.4258 5.4110 4.0269
Al 2.2129 4.2509 1.4078
Al 6.6387 6.5712 6.6459
Al 6.6387 8.2529 4.3861
Al 2.2129 4.0404 5.8686
Al 2.2129 6.7817 2.1851
Al 2.2129 2.5692 3.6676
```

Properties
- calculated volume (Å³ per cell) = 216.4
- formation energy from the elements (eV/atom) = -0.26
- electronic total energy (eV for the cell shown) = -38.80
- symmetry = Immm, No. 71
- Fermi-level density of states (states/eV/f.u.) = 5.1



DyPu2Re9 | GGA-PBE | relaxed

```
12
Lattice="-4.9595 -0.2641 1.8431 -1.5432 -4.1826 2.8614 0.4100 2.7239 9.1065" Properties=species:S:1:pos:R:3 pbc="T T T"
Dy 0.0000 0.0000 0.0000
Pu -5.3777 -2.6109 7.9947
Pu -0.7150 0.8881 5.8163
Re -4.3230 -2.9448 3.1716
Re -1.7696 1.2220 10.6394
Re -3.0463 -0.8614 6.9055
Re -2.5963 -1.1671 4.2190
Re -5.1068 -1.3008 5.1520
Re -3.3774 -3.2844 5.6675
Re -3.4964 -0.5556 9.5920
Re -2.7153 1.5616 8.1435
Re -0.9859 -0.4220 8.6590
```

Properties
- calculated volume (Å³ per cell) = 219.0
- formation energy from the elements (eV/atom) = 0.06
- electronic total energy (eV for the cell shown) = -144.52
- symmetry = R-3m, No. 166
- Fermi-level density of states (states/eV/f.u.) = 22.9



Q: What is the electronic total energy in the second record?
A: -144.52 eV for the cell shown